# 1
The following is a PBE-GGA calculation of a relaxed structure of SrYSN2, from Alexandria.

```
5
Lattice="-2.6754 -0.2473 3.8085 -3.8693 -0.1905 -2.7305 0.2955 -4.6505 -0.0943" Properties=species:S:1:pos:R:3 pbc="T T T"
S 0.0000 0.0000 0.0000
N -1.3377 -0.1236 1.9043
N 0.1478 -2.3253 -0.0472
Y -1.9347 -0.0952 -1.3652
Sr -3.1246 -2.5442 0.4918
```

The calculation puts the total magnetization at 0.00 μB/cell. Its space group is P4/mmm. The total energy comes out at -4.686 eV per atom. Its energy above the most stable polymorph in this dataset is 1.4322 eV/atom. The uncorrected formation energy comes out at 1099 meV/atom.



# 2
The following is a PBE-GGA calculation of a relaxed structure of SrYS2N, from Alexandria.

```
5
Lattice="-3.7716 0.6860 -3.7518 3.1471 -2.4210 -3.6064 -1.7434 -3.8331 1.0518" Properties=species:S:1:pos:R:3 pbc="T T T"
N -0.8717 -1.9166 0.5259
S -1.8858 0.3430 -1.8759
Y -1.1840 -2.7841 -3.1532
Sr 0.0000 0.0000 0.0000
S 1.5736 -1.2105 -1.8032
```

The calculation puts the total magnetization at 1.15 μB/cell. Its space group is P4/mmm. The total energy comes out at -4.925 eV per atom. Its energy above the most stable polymorph in this dataset is 0.9875 eV/atom. The uncorrected formation energy comes out at 20 meV/atom.



# 3
The following is a PBE-GGA calculation of a relaxed structure of SrYSN2, from Alexandria.

```
5
Lattice="-2.1160 1.8864 3.2086 -0.8117 -3.8359 1.7199 4.6906 0.3121 2.9099" Properties=species:S:1:pos:R:3 pbc="T T T"
N -0.4059 -1.9180 0.8599
Y 0.8814 -0.8187 3.9192
Sr 0.0000 0.0000 0.0000
N -1.0580 0.9432 1.6043
S 2.3453 0.1560 1.4549
```

The calculation puts the total magnetization at 0.49 μB/cell. Its space group is P4/mmm. The total energy comes out at -5.235 eV per atom. Its energy above the most stable polymorph in this dataset is 0.8840 eV/atom. The uncorrected formation energy comes out at 550 meV/atom.



# 4
The following is a PBE-GGA calculation of a relaxed structure of SrYS2N, from Alexandria.

```
5
Lattice="5.3141 0.0000 0.0000 0.0000 5.3141 0.0000 0.0000 0.0000 4.4564" Properties=species:S:1:pos:R:3 pbc="T T T"
S 2.6571 0.0000 0.0000
Sr 2.6571 2.6571 2.2282
N 0.0000 0.0000 2.2282
S 0.0000 2.6571 0.0000
Y 0.0000 0.0000 0.0000
```

The calculation puts the total magnetization at 2.00 μB/cell. Its space group is P4/mmm. The total energy comes out at -5.912 eV per atom. Its energy above the most stable polymorph in this dataset is 0.0000 eV/atom. The uncorrected formation energy comes out at -967 meV/atom.



# 5
The following is a PBE-GGA calculation of a relaxed structure of SrYSN2, from Alexandria.

```
5
Lattice="4.5089 0.0000 0.0000 0.0000 4.5089 0.0000 0.0000 0.0000 5.3839" Properties=species:S:1:pos:R:3 pbc="T T T"
N 0.0000 2.2544 0.0000
S 0.0000 0.0000 2.6920
Y 0.0000 0.0000 0.0000
N 2.2544 0.0000 0.0000
Sr 2.2544 2.2544 2.6920
```

The calculation puts the total magnetization at 3.01 μB/cell. Its space group is P4/mmm. The total energy comes out at -6.119 eV per atom. Its energy above the most stable polymorph in this dataset is 0.0000 eV/atom. The uncorrected formation energy comes out at -334 meV/atom.



# 6
The following is a PBE-GGA calculation of a relaxed structure of SrZnS2N, from Alexandria.

```
5
Lattice="4.9526 0.0000 0.0000 0.0000 4.9526 0.0000 0.0000 0.0000 3.9964" Properties=species:S:1:pos:R:3 pbc="T T T"
N 0.0000 0.0000 1.9982
Zn 0.0000 0.0000 0.0000
Sr 2.4763 2.4763 1.9982
S 2.4763 0.0000 0.0000
S 0.0000 2.4763 0.0000
```

The calculation puts the total magnetization at 2.18 μB/cell. Its space group is P4/mmm. The total energy comes out at -4.066 eV per atom. Its energy above the most stable polymorph in this dataset is 0.0000 eV/atom. The uncorrected formation energy comes out at -158 meV/atom.



# 7
The following is a PBE-GGA calculation of a relaxed structure of SrZnSN2, from Alexandria.

```
5
Lattice="4.1528 0.0000 0.0000 0.0000 4.1528 0.0000 0.0000 0.0000 5.0231" Properties=species:S:1:pos:R:3 pbc="T T T"
N 2.0764 0.0000 0.0000
Sr 2.0764 2.0764 2.5115
S 0.0000 0.0000 2.5115
Zn 0.0000 0.0000 0.0000
N 0.0000 2.0764 0.0000
```

The calculation puts the total magnetization at 3.43 μB/cell. Its space group is P4/mmm. The total energy comes out at -4.277 eV per atom. Its energy above the most stable polymorph in this dataset is 0.0000 eV/atom. The uncorrected formation energy comes out at 470 meV/atom.



# 8
The following is a PBE-GGA calculation of a relaxed structure of SrZnS2N, from Alexandria.

```
5
Lattice="5.6616 0.0000 0.0000 0.0000 5.6616 0.0000 0.0000 0.0000 4.9124" Properties=species:S:1:pos:R:3 pbc="T T T"
Zn 2.8308 2.8308 2.4562
S 0.0000 2.8308 0.0000
Sr 0.0000 0.0000 0.0000
N 0.0000 0.0000 2.4562
S 2.8308 0.0000 0.0000
```

The calculation puts the total magnetization at 3.65 μB/cell. Its space group is P4/mmm. The total energy comes out at -2.999 eV per atom. Its energy above the most stable polymorph in this dataset is 1.0664 eV/atom. The uncorrected formation energy comes out at 908 meV/atom.



# 9
The following is a PBE-GGA calculation of a relaxed structure of SrZnSN2, from Alexandria.

```
5
Lattice="4.8342 0.0000 0.0000 0.0000 4.8342 0.0000 0.0000 0.0000 5.9342" Properties=species:S:1:pos:R:3 pbc="T T T"
S 0.0000 0.0000 2.9671
Sr 0.0000 0.0000 0.0000
Zn 2.4171 2.4171 2.9671
N 2.4171 0.0000 0.0000
N 0.0000 2.4171 0.0000
```

The calculation puts the total magnetization at 4.63 μB/cell. Its space group is P4/mmm. The total energy comes out at -3.301 eV per atom. Its energy above the most stable polymorph in this dataset is 0.9757 eV/atom. The uncorrected formation energy comes out at 1446 meV/atom.



# 10
The following is a PBE-GGA calculation of a relaxed structure of SrZrSN2, from Alexandria.

```
5
Lattice="4.1930 0.0000 0.0000 0.0000 4.1930 0.0000 0.0000 0.0000 5.3492" Properties=species:S:1:pos:R:3 pbc="T T T"
N 2.0965 0.0000 0.0000
S 0.0000 0.0000 2.6746
Zr 2.0965 2.0965 2.6746
N 0.0000 2.0965 0.0000
Sr 0.0000 0.0000 0.0000
```

The calculation puts the total magnetization at 0.00 μB/cell. Its space group is P4/mmm. The total energy comes out at -5.073 eV per atom. Its energy above the most stable polymorph in this dataset is 1.8505 eV/atom. The uncorrected formation energy comes out at 1129 meV/atom.



# 11
The following is a PBE-GGA calculation of a relaxed structure of SrZrSN2, from Alexandria.

```
5
Lattice="-2.5915 3.0809 1.3819 -1.0821 -2.4079 3.3390 3.9350 2.0687 2.7672" Properties=species:S:1:pos:R:3 pbc="T T T"
Zr 0.0000 0.0000 0.0000
N -1.2957 1.5405 0.6910
Sr 0.1307 1.3709 3.7440
N -0.5411 -1.2040 1.6695
S 1.9675 1.0343 1.3836
```

The calculation puts the total magnetization at 0.96 μB/cell. Its space group is P4/mmm. The total energy comes out at -6.924 eV per atom. Its energy above the most stable polymorph in this dataset is 0.0000 eV/atom. The uncorrected formation energy comes out at -722 meV/atom.



# 12
The following is a PBE-GGA calculation of a relaxed structure of TaS3N, from Alexandria.

```
5
Lattice="-3.6908 -0.7776 1.5224 1.2760 -3.6636 1.2223 1.1376 1.5867 3.5683" Properties=species:S:1:pos:R:3 pbc="T T T"
S -1.8454 -0.3888 0.7612
N 0.0000 0.0000 0.0000
Ta -0.6386 -1.4273 3.1565
S 0.6380 -1.8318 0.6111
S 0.5688 0.7933 1.7841
```

The calculation puts the total magnetization at 0.62 μB/cell. Its space group is Pm-3m. The total energy comes out at -5.628 eV per atom. Its energy above the most stable polymorph in this dataset is 0.1643 eV/atom. The uncorrected formation energy comes out at 884 meV/atom.